No. 1
A plane-wave DFT calculation with PBEsol was carried out for a relaxed CsCu2I3 crystal.

Structure (extended XYZ):
```
12
Lattice="5.011 -6.500 0.000 5.011 6.500 0.000 0.000 0.000 6.087" Properties=species:S:1:pos:R:3 pbc="T T T"
Cs 5.011 4.403 4.565
Cs 5.011 -4.403 1.522
Cu 3.700 0.000 0.000
Cu 3.700 0.000 3.043
Cu 6.321 0.000 0.000
Cu 6.321 0.000 3.043
I 2.225 1.516 4.565
I 2.225 -1.516 1.522
I 5.011 1.683 1.522
I 5.011 -1.683 4.565
I 7.796 1.516 4.565
I 7.796 -1.516 1.522
```

Its uncorrected formation energy is -58 kJ per mole of atoms. As for the space group: Cmcm, No. 63.


No. 2
A plane-wave DFT calculation with PBEsol was carried out for a relaxed Ba2InH2 crystal.

Structure (extended XYZ):
```
10
Lattice="4.218 0.000 0.000 0.000 4.218 0.000 0.000 0.000 15.079" Properties=species:S:1:pos:R:3 pbc="T T T"
Ba 0.000 0.000 2.266
Ba 0.000 0.000 12.813
Ba 2.109 2.109 5.273
Ba 2.109 2.109 9.805
In 0.000 0.000 7.539
In 2.109 2.109 0.000
H 0.000 2.109 3.770
H 0.000 2.109 11.309
H 2.109 0.000 3.770
H 2.109 0.000 11.309
```

The calculated total energy is -3.167 eV per atom. As for the space group: I4/mmm, No. 139.


No. 3
A plane-wave DFT calculation with PBEsol was carried out for a relaxed AlAsCl2 crystal.

Structure (extended XYZ):
```
8
Lattice="3.311 0.000 0.000 0.000 5.941 0.000 0.000 0.000 8.677" Properties=species:S:1:pos:R:3 pbc="T T T"
Al 0.000 0.000 0.000
Al 1.655 2.971 0.000
As 0.000 2.971 2.036
As 1.655 0.000 2.036
Cl 0.000 0.000 3.996
Cl 0.000 2.971 6.981
Cl 1.655 0.000 6.981
Cl 1.655 2.971 3.996
```

Its uncorrected formation energy is -20 kJ per mole of atoms. The calculation puts the energy above the lowest structure with this stoichiometry at 0.0 meV/atom. As for the space group: Cmm2, No. 35.


No. 4
A plane-wave DFT calculation with PBEsol was carried out for a relaxed CdSn2Hg crystal.

Structure (extended XYZ):
```
16
Lattice="7.303 0.000 0.000 0.000 7.303 0.000 0.000 0.000 7.303" Properties=species:S:1:pos:R:3 pbc="T T T"
Cd 0.000 0.000 0.000
Cd 0.000 3.652 3.652
Cd 3.652 0.000 3.652
Cd 3.652 3.652 0.000
Sn 1.826 1.826 1.826
Sn 1.826 1.826 5.478
Sn 1.826 5.478 1.826
Sn 1.826 5.478 5.478
Sn 5.478 1.826 1.826
Sn 5.478 1.826 5.478
Sn 5.478 5.478 1.826
Sn 5.478 5.478 5.478
Hg 0.000 0.000 3.652
Hg 0.000 3.652 0.000
Hg 3.652 0.000 0.000
Hg 3.652 3.652 3.652
```

For the energy of formation from the pure elements, the calculation gives 71 meV per atom. The calculation puts the energy above the lowest structure with this stoichiometry at 0.0 meV/atom. As for the space group: Fm-3m, No. 225.


What is the formula in the third record?
AlAsCl2